[1]
Material: ScUTl
Method: DFT, PBE
State: optimized geometry

a b c (Å): 8.707 8.707 5.000
angles (deg): 90.00 90.00 158.62
Fractional positions:
Sc  0.070  0.930  0.750
Sc  0.930  0.070  0.250
U  0.261  0.739  0.250
U  0.739  0.261  0.750
Tl  0.405  0.595  0.750
Tl  0.595  0.405  0.250

Properties
Theoretical density = 11713 kg/m3
N(E_F) = 1.7361 states/eV/atom
Size of the total moment = 4.22 Bohr magnetons per cell
Electronic total energy = -20.0 eV/f.u.

---

[2]
Material: TmZrZnCd
Method: DFT, PBE
State: optimized geometry

a b c (Å): 4.982 4.982 4.982
angles (deg): 60.00 60.00 60.00
Fractional positions:
Tm  0.000  0.000  0.000
Zr  0.500  0.500  0.500
Zn  0.750  0.750  0.750
Cd  0.250  0.250  0.250

Properties
Theoretical density = 8315 kg/m3
N(E_F) = 1.2651 states/eV/atom
Size of the total moment = 0.00 Bohr magnetons per cell
Energy above the lowest structure with this stoichiometry = 0.055 eV per atom

---

[3]
Material: Pm2ErAg
Method: DFT, PBE
State: optimized geometry

a b c (Å): 5.451 5.451 5.451
angles (deg): 60.00 60.00 60.00
Fractional positions:
Pm  0.250  0.250  0.250
Pm  0.750  0.750  0.750
Er  0.000  0.000  0.000
Ag  0.500  0.500  0.500

Properties
Theoretical density = 8196 kg/m3
N(E_F) = 0.9240 states/eV/atom
Size of the total moment = 0.00 Bohr magnetons per cell
Energy above the lowest structure with this stoichiometry = 0.176 eV per atom

---

[4]
Material: Ca2Bi2Pb
Method: DFT, PBE
State: optimized geometry

a b c (Å): 7.916 7.916 7.916
angles (deg): 142.48 142.48 54.11
Fractional positions:
Ca  0.250  0.750  0.500
Ca  0.750  0.250  0.500
Bi  0.114  0.114  0.000
Bi  0.886  0.886  0.000
Pb  0.500  0.500  0.000

Properties
Theoretical density = 6406 kg/m3
N(E_F) = 0.2104 states/eV/atom
Size of the total moment = 0.00 Bohr magnetons per cell
Energy above the lowest structure with this stoichiometry = 0.346 eV per atom

---

[5]
Material: Li4Ga3Sn2
Method: DFT, PBE
State: optimized geometry

a b c (Å): 4.240 5.177 8.632
angles (deg): 92.77 103.28 113.97
Fractional positions:
Li  0.184  0.192  0.170
Li  0.271  0.939  0.608
Li  0.729  0.061  0.392
Li  0.816  0.808  0.830
Ga  0.404  0.747  0.050
Ga  0.500  0.500  0.500
Ga  0.596  0.253  0.950
Sn  0.043  0.368  0.729
Sn  0.957  0.632  0.271

Properties
Theoretical density = 4735 kg/m3
N(E_F) = 0.3128 states/eV/atom
Size of the total moment = 0.00 Bohr magnetons per cell
Electronic total energy = -27.1 eV/f.u.

---

[6]
Material: TlAg2Ru
Method: DFT, PBE
State: optimized geometry

a b c (Å): 5.347 5.347 5.347
angles (deg): 135.75 135.75 64.37
Fractional positions:
Tl  0.000  0.000  0.000
Ag  0.250  0.750  0.500
Ag  0.750  0.250  0.500
Ru  0.500  0.500  0.000

Properties
Theoretical density = 11788 kg/m3
N(E_F) = 0.6520 states/eV/atom
Size of the total moment = 0.91 Bohr magnetons per cell
Energy above the lowest structure with this stoichiometry = 0.097 eV per atom

---

[7]
Material: TlCrPbCl6
Method: DFT, PBE
State: optimized geometry

a b c (Å): 7.015 7.015 6.712
angles (deg): 90.00 90.00 120.00
Fractional positions:
Tl  0.000  0.000  0.000
Cr  0.667  0.333  0.500
Pb  0.333  0.667  0.500
Cl  0.396  0.056  0.708
Cl  0.396  0.339  0.292
Cl  0.661  0.056  0.292
Cl  0.661  0.604  0.708
Cl  0.944  0.339  0.708
Cl  0.944  0.604  0.292

Properties
Theoretical density = 3926 kg/m3
Size of the total moment = 3.00 Bohr magnetons per cell
Electronic total energy = -36.7 eV/f.u.

---

[8]
Material: KBa
Method: DFT, PBE
State: optimized geometry

a b c (Å): 8.736 8.736 11.282
angles (deg): 104.08 104.08 29.34
Fractional positions:
K  0.000  0.000  0.000
K  0.069  0.069  0.628
K  0.734  0.734  0.959
Ba  0.334  0.334  0.652
Ba  0.400  0.400  0.302
Ba  0.670  0.670  0.333

Properties
Theoretical density = 2152 kg/m3
N(E_F) = 1.4296 states/eV/atom
Size of the total moment = 0.01 Bohr magnetons per cell
Electronic total energy = -2.8 eV/f.u.

---

[9]
Material: PrGa3I6
Method: DFT, PBE
State: optimized geometry

a b c (Å): 7.948 8.766 14.297
angles (deg): 90.00 122.85 90.00
Fractional positions:
Pr  0.000  0.000  0.000
Pr  0.000  0.500  0.500
Ga  0.335  0.147  0.758
Ga  0.335  0.353  0.258
Ga  0.500  0.000  0.500
Ga  0.500  0.500  0.000
Ga  0.665  0.647  0.742
Ga  0.665  0.853  0.242
I  0.096  0.053  0.243
I  0.096  0.447  0.743
I  0.244  0.692  0.076
I  0.244  0.808  0.576
I  0.395  0.180  0.075
I  0.395  0.320  0.575
I  0.605  0.680  0.425
I  0.605  0.820  0.925
I  0.756  0.192  0.424
I  0.756  0.308  0.924
I  0.904  0.553  0.257
I  0.904  0.947  0.757

Properties
Theoretical density = 4411 kg/m3
N(E_F) = 0.0000 states/eV/atom
Size of the total moment = 0.00 Bohr magnetons per cell
Electronic total energy = -30.6 eV/f.u.

---

[10]
Material: NbReRh4
Method: DFT, PBE
State: optimized geometry

a b c (Å): 5.921 5.987 5.922
angles (deg): 90.00 90.00 90.00
Fractional positions:
Nb  0.250  0.000  0.248
Nb  0.750  0.000  0.752
Re  0.250  0.500  0.748
Re  0.750  0.500  0.252
Rh  0.000  0.255  0.500
Rh  0.000  0.257  0.000
Rh  0.000  0.743  0.000
Rh  0.000  0.745  0.500
Rh  0.500  0.255  0.500
Rh  0.500  0.257  0.000
Rh  0.500  0.743  0.000
Rh  0.500  0.745  0.500

Properties
Theoretical density = 10927 kg/m3
N(E_F) = 0.5833 states/eV/atom
Size of the total moment = 0.00 Bohr magnetons per cell
Electronic total energy = -51.0 eV/f.u.

---

[11]
Material: ErCd11Ag
Method: DFT, PBE
State: optimized geometry

a b c (Å): 7.622 7.622 7.602
angles (deg): 98.57 98.57 134.64
Fractional positions:
Er  0.000  0.000  0.000
Cd  0.000  0.500  0.000
Cd  0.002  0.656  0.648
Cd  0.282  0.492  0.787
Cd  0.344  0.998  0.352
Cd  0.492  0.282  0.787
Cd  0.500  0.000  0.000
Cd  0.500  0.500  0.500
Cd  0.508  0.718  0.213
Cd  0.656  0.002  0.648
Cd  0.718  0.508  0.213
Cd  0.998  0.344  0.352
Ag  0.000  0.000  0.500

Properties
Theoretical density = 8661 kg/m3
N(E_F) = 0.4007 states/eV/atom
Size of the total moment = 0.00 Bohr magnetons per cell
Electronic total energy = -18.4 eV/f.u.

---

[12]
Material: U2PdS6
Method: DFT, PBE
State: optimized geometry

a b c (Å): 6.234 6.234 10.975
angles (deg): 90.00 90.00 90.00
Fractional positions:
U  0.000  0.000  0.179
U  0.000  0.000  0.821
U  0.500  0.500  0.321
U  0.500  0.500  0.679
Pd  0.000  0.000  0.500
Pd  0.500  0.500  0.000
S  0.187  0.187  0.000
S  0.204  0.204  0.344
S  0.204  0.204  0.656
S  0.296  0.704  0.156
S  0.296  0.704  0.844
S  0.313  0.687  0.500
S  0.687  0.313  0.500
S  0.704  0.296  0.156
S  0.704  0.296  0.844
S  0.796  0.796  0.344
S  0.796  0.796  0.656
S  0.813  0.813  0.000

Properties
Theoretical density = 6033 kg/m3
N(E_F) = 0.5750 states/eV/atom
Size of the total moment = 0.60 Bohr magnetons per cell
Electronic total energy = -60.9 eV/f.u.

---

[13]
Material: SmScZnIn
Method: DFT, PBE
State: optimized geometry

a b c (Å): 5.113 5.113 5.113
angles (deg): 60.00 60.00 60.00
Fractional positions:
Sm  0.000  0.000  0.000
Sc  0.500  0.500  0.500
Zn  0.250  0.250  0.250
In  0.750  0.750  0.750

Properties
Theoretical density = 6597 kg/m3
N(E_F) = 0.9699 states/eV/atom
Size of the total moment = 0.00 Bohr magnetons per cell
Energy above the lowest structure with this stoichiometry = 0.033 eV per atom

---

[14]
Material: Ca3BeSi
Method: DFT, PBE
State: optimized geometry

a b c (Å): 5.618 5.618 5.618
angles (deg): 90.00 90.00 90.00
Fractional positions:
Ca  0.000  0.000  0.500
Ca  0.000  0.500  0.000
Ca  0.500  0.000  0.000
Be  0.500  0.500  0.500
Si  0.000  0.000  0.000

Properties
Theoretical density = 1473 kg/m3
N(E_F) = 1.2168 states/eV/atom
Size of the total moment = 0.00 Bohr magnetons per cell
Energy above the lowest structure with this stoichiometry = 0.000 eV per atom

---

[15]
Material: KNaVOs2
Method: DFT, PBE
State: optimized geometry

a b c (Å): 4.536 4.536 5.785
angles (deg): 90.00 90.00 90.00
Fractional positions:
K  0.000  0.000  0.000
Na  0.500  0.500  0.000
V  0.000  0.000  0.500
Os  0.000  0.500  0.500
Os  0.500  0.000  0.500

Properties
Theoretical density = 6884 kg/m3
N(E_F) = 0.8419 states/eV/atom
Size of the total moment = 0.00 Bohr magnetons per cell
Electronic total energy = -27.2 eV/f.u.

---

[16]
Material: Ce2ThAu
Method: DFT, PBE
State: optimized geometry

a b c (Å): 5.285 5.285 5.285
angles (deg): 60.00 60.00 60.00
Fractional positions:
Ce  0.250  0.250  0.250
Ce  0.750  0.750  0.750
Th  0.000  0.000  0.000
Au  0.500  0.500  0.500

Properties
Theoretical density = 11286 kg/m3
N(E_F) = 2.6063 states/eV/atom
Size of the total moment = 0.01 Bohr magnetons per cell
Energy above the lowest structure with this stoichiometry = 0.242 eV per atom

---

[17]
Material: Ca3CuTc
Method: DFT, PBE
State: optimized geometry

a b c (Å): 5.392 5.392 5.392
angles (deg): 90.00 90.00 90.00
Fractional positions:
Ca  0.000  0.000  0.500
Ca  0.000  0.500  0.000
Ca  0.500  0.000  0.000
Cu  0.500  0.500  0.500
Tc  0.000  0.000  0.000

Properties
Theoretical density = 2985 kg/m3
N(E_F) = 0.8151 states/eV/atom
Size of the total moment = 0.50 Bohr magnetons per cell
Energy above the lowest structure with this stoichiometry = 0.000 eV per atom

---

[18]
Material: Mg2BeO
Method: DFT, PBE
State: optimized geometry

a b c (Å): 4.313 4.313 4.313
angles (deg): 60.00 60.00 60.00
Fractional positions:
Mg  0.250  0.250  0.250
Mg  0.750  0.750  0.750
Be  0.000  0.000  0.000
O  0.500  0.500  0.500

Properties
Theoretical density = 2155 kg/m3
N(E_F) = 0.9044 states/eV/atom
Size of the total moment = 0.14 Bohr magnetons per cell
Energy above the lowest structure with this stoichiometry = 0.811 eV per atom

---

[19]
Material: AcPrInSi
Method: DFT, PBE
State: optimized geometry

a b c (Å): 5.501 5.501 5.501
angles (deg): 60.00 60.00 60.00
Fractional positions:
Ac  0.000  0.000  0.000
Pr  0.500  0.500  0.500
In  0.250  0.250  0.250
Si  0.750  0.750  0.750

Properties
Theoretical density = 7207 kg/m3
N(E_F) = 0.5850 states/eV/atom
Size of the total moment = 0.00 Bohr magnetons per cell
Electronic total energy = -18.4 eV/f.u.

---

[20]
Material: EuZrRh4
Method: DFT, PBE
State: optimized geometry

a b c (Å): 5.306 5.306 5.306
angles (deg): 60.00 60.00 60.00
Fractional positions:
Eu  0.000  0.000  0.000
Zr  0.750  0.750  0.750
Rh  0.375  0.375  0.375
Rh  0.375  0.375  0.874
Rh  0.375  0.874  0.375
Rh  0.874  0.375  0.375

Properties
Theoretical density = 10295 kg/m3
N(E_F) = 1.8809 states/eV/atom
Size of the total moment = 6.87 Bohr magnetons per cell
Electronic total energy = -51.2 eV/f.u.